1.
PBE-GGA Ta2CoIrC, relaxed; density = 15.1 g/cm3; energy of formation = -0.311 eV per atom; magnetization = 1.1 μB per cell; SG = P4/mmm, No. 123
1.0
4.2615 0.0000 0.0000
0.0000 4.2615 0.0000
0.0000 0.0000 3.7782
C Co Ta Ir
1 1 2 1
Direct
0.0000 0.0000 0.0000
0.0000 0.0000 0.5000
0.5000 0.0000 0.0000
0.0000 0.5000 0.0000
0.5000 0.5000 0.5000

=====

2.
PBE-GGA Ta2CoIrC, relaxed; density = 10.0 g/cm3; energy of formation = 2.288 eV per atom; magnetization = 1.9 μB per cell; SG = P4/mmm, No. 123
1.0
4.7998 0.0000 0.0000
0.0000 4.4961 0.0000
0.0000 0.0000 4.7998
C Co Ir Ta
1 1 1 2
Direct
0.5000 0.5000 0.5000
0.0000 0.5000 0.0000
0.0000 0.0000 0.0000
0.0000 0.0000 0.5000
0.5000 0.0000 0.0000

=====

3.
PBE-GGA V2CoIrC, relaxed; density = 10.4 g/cm3; energy of formation = -0.245 eV per atom; magnetization = 0.0 μB per cell; SG = P4/mmm, No. 123
1.0
-3.0295 -1.0100 2.3065
2.4681 -0.4769 3.0329
-0.4742 3.5943 0.9511
Co C Ir V
1 1 1 2
Direct
0.0000 0.0000 0.5000
0.0000 0.0000 0.0000
0.5000 0.5000 0.5000
0.0000 0.5000 0.0000
0.5000 0.0000 0.0000

=====

4.
PBE-GGA YCo2IrC, relaxed; density = 10.4 g/cm3; energy of formation = -0.174 eV per atom; magnetization = 0.0 μB per cell; SG = P4/mmm, No. 123
1.0
4.0034 0.0000 0.0000
0.0000 4.0034 0.0000
0.0000 0.0000 4.0993
Ir Y Co C
1 1 2 1
Direct
0.0000 0.0000 0.5000
0.5000 0.5000 0.5000
0.0000 0.5000 0.0000
0.5000 0.0000 0.0000
0.0000 0.0000 0.0000

=====

5.
PBE-GGA ZrCo2IrC, relaxed; density = 10.9 g/cm3; energy of formation = -0.173 eV per atom; magnetization = 1.0 μB per cell; SG = P4/mmm, No. 123
1.0
3.9458 0.0000 0.0000
0.0000 3.9458 0.0000
0.0000 0.0000 4.0545
Co Zr Ir C
2 1 1 1
Direct
0.0000 0.5000 0.0000
0.5000 0.0000 0.0000
0.5000 0.5000 0.5000
0.0000 0.0000 0.5000
0.0000 0.0000 0.0000

=====

6.
PBE-GGA K3CoC, relaxed; density = 1.7 g/cm3; energy of formation = 1.462 eV per atom; magnetization = 4.0 μB per cell; SG = Pm-3m, No. 221
1.0
-1.6906 -4.5897 2.9992
1.1020 -3.3589 -4.5190
5.3709 -0.7555 1.8712
K C Co
3 1 1
Direct
0.0000 0.5000 0.0000
0.0000 0.0000 0.5000
0.5000 0.0000 0.0000
0.0000 0.0000 0.0000
0.5000 0.5000 0.5000

=====

7.
PBE-GGA KCoC2, relaxed; density = 3.1 g/cm3; energy of formation = 0.779 eV per atom; magnetization = 0.0 μB per cell; SG = I4_1/amd, No. 141
1.0
-1.1971 0.6858 -5.2546
-0.6594 -5.3644 -0.5500
-5.2071 -1.9189 -1.8726
C Co K
4 2 2
Direct
0.8750 0.6250 0.2500
0.8750 0.1250 0.2500
0.8750 0.1250 0.7500
0.3750 0.1250 0.7500
0.7500 0.2500 0.5000
0.0000 0.0000 0.0000
0.2500 0.7500 0.5000
0.5000 0.5000 0.0000

=====

8.
PBE-GGA KCo2C, relaxed; density = 4.0 g/cm3; energy of formation = 0.667 eV per atom; magnetization = 2.0 μB per cell; SG = I-42d, No. 122
1.0
5.8665 0.0000 0.0000
0.0000 5.8665 0.0000
2.9332 2.9332 4.1258
Co C K
4 2 2
Direct
0.8750 0.6261 0.7500
0.3761 0.1250 0.2500
0.3750 0.6239 0.7500
0.3739 0.6250 0.2500
0.2500 0.7500 0.5000
0.5000 0.5000 0.0000
0.0000 0.0000 0.0000
0.7500 0.2500 0.5000

=====

9.
PBE-GGA KCo3C, relaxed; density = 4.4 g/cm3; energy of formation = 3.630 eV per atom; magnetization = 5.1 μB per cell; SG = Pm-3m, No. 221
1.0
4.4005 0.0000 0.0000
0.0000 4.4005 0.0000
0.0000 0.0000 4.4005
K Co C
1 3 1
Direct
0.0000 0.0000 0.0000
0.5000 0.0000 0.0000
0.0000 0.5000 0.0000
0.0000 0.0000 0.5000
0.5000 0.5000 0.5000

=====

10.
PBE-GGA K2CoC2, relaxed; density = 2.8 g/cm3; energy of formation = 2.752 eV per atom; magnetization = 0.1 μB per cell; SG = P4/mbm, No. 127
1.0
-7.9399 -3.0363 -0.4912
0.4184 -2.4132 8.1550
-0.9297 2.3127 0.7321
C K Co
4 4 2
Direct
0.6621 0.8379 0.5000
0.1621 0.6621 0.5000
0.3379 0.1621 0.5000
0.8379 0.3379 0.5000
0.1367 0.3633 0.0000
0.8633 0.6367 0.0000
0.6367 0.1367 0.0000
0.3633 0.8633 0.0000
0.5000 0.5000 0.0000
0.0000 0.0000 0.0000

=====

11.
PBE-GGA KCo3C, relaxed; density = 6.1 g/cm3; energy of formation = 0.811 eV per atom; magnetization = 1.9 μB per cell; SG = Pm-3m, No. 221
1.0
3.9656 0.0000 0.0000
0.0000 3.9656 0.0000
0.0000 0.0000 3.9656
Co K C
3 1 1
Direct
0.0000 0.0000 0.5000
0.5000 0.0000 0.0000
0.0000 0.5000 0.0000
0.5000 0.5000 0.5000
0.0000 0.0000 0.0000

=====

12.
PBE-GGA KCoC2, relaxed; density = 4.3 g/cm3; energy of formation = 2.608 eV per atom; magnetization = 0.0 μB per cell; SG = Fm-3m, No. 225
1.0
0.1401 2.2162 3.3817
-2.7586 -0.5654 2.9048
1.0730 -1.7186 3.5018
C K Co
2 1 1
Direct
0.7500 0.7500 0.7500
0.2500 0.2500 0.2500
0.0000 0.0000 0.0000
0.5000 0.5000 0.5000

=====

13.
PBE-GGA KLaCoC2, relaxed; density = 4.5 g/cm3; energy of formation = 2.585 eV per atom; magnetization = 2.6 μB per cell; SG = P4/mmm, No. 123
1.0
4.6874 0.0000 0.0000
0.0000 4.3786 0.0000
0.0000 0.0000 4.6874
Co C La K
1 2 1 1
Direct
0.0000 0.5000 0.0000
0.5000 0.0000 0.0000
0.0000 0.0000 0.5000
0.5000 0.5000 0.5000
0.0000 0.0000 0.0000

=====

14.
PBE-GGA KMgCoC2, relaxed; density = 3.4 g/cm3; energy of formation = 1.335 eV per atom; magnetization = 1.6 μB per cell; SG = P4/mmm, No. 123
1.0
3.9235 0.0000 0.0000
0.0000 4.5834 0.0000
0.0000 0.0000 3.9235
C Co K Mg
2 1 1 1
Direct
0.0000 0.0000 0.5000
0.5000 0.0000 0.0000
0.0000 0.0000 0.0000
0.5000 0.5000 0.5000
0.0000 0.5000 0.0000

=====

15.
PBE-GGA KMnCoC2, relaxed; density = 3.6 g/cm3; energy of formation = 4.122 eV per atom; magnetization = 2.1 μB per cell; SG = P4/mmm, No. 123
1.0
4.3464 0.0000 0.0000
0.0000 4.3132 0.0000
0.0000 0.0000 4.3464
Co Mn C K
1 1 2 1
Direct
0.0000 0.5000 0.0000
0.5000 0.5000 0.5000
0.0000 0.0000 0.5000
0.5000 0.0000 0.0000
0.0000 0.0000 0.0000

=====

16.
PBE-GGA K3CoC6N6, relaxed; density = 1.8 g/cm3; formation energy from raw total energies = -161 meV/atom; magnetization = 0.3 μB per cell; SG = P2_1/c, No. 14
1.0
10.4778 0.0000 0.0000
0.0000 7.1443 -0.0018
0.0000 2.5182 8.0446
C K N Co
12 6 12 2
Direct
0.3389 0.8807 0.0255
0.8389 0.1193 0.4745
0.9505 0.8206 0.7028
0.0568 0.1762 0.6121
0.1611 0.8807 0.5255
0.4505 0.1794 0.7972
0.0495 0.1794 0.2972
0.5568 0.8238 0.8879
0.9432 0.8238 0.3879
0.4432 0.1762 0.1121
0.6611 0.1193 0.9745
0.5495 0.8206 0.2028
0.2196 0.5019 0.8756
0.7804 0.4981 0.1244
0.2804 0.5019 0.3756
0.5000 0.0000 0.5000
0.7196 0.4981 0.6244
0.0000 0.0000 0.0000
0.9080 0.7158 0.3157
0.9218 0.7093 0.8315
0.7394 0.1992 0.4552
0.5782 0.7093 0.3315
0.2606 0.8008 0.5448
0.7606 0.1992 0.9552
0.5920 0.7158 0.8157
0.4080 0.2842 0.1843
0.2394 0.8008 0.0448
0.0782 0.2907 0.1685
0.0920 0.2842 0.6843
0.4218 0.2907 0.6685
0.0000 0.0000 0.5000
0.5000 0.0000 0.0000

=====

no.,N(E_F) (states/eV/cell)
1,3.44
2,5.69
3,3.11
4,3.07
5,3.10
6,14.99
7,0.00
8,19.07
9,11.29
10,16.83
11,5.41
12,2.37
13,4.27
14,2.39
15,6.56
16,0.00